(1)
VASP calculation (PBE-GGA) on a geometry-optimized Hg2PS5 structure.

The space group is Cmcm (No. 63) and the conventional cell measures 6.201, 12.296 and 10.993 Å, with angles of 90.00, 90.00 and 90.00 degrees. The asymmetric unit holds Hg at (0.000, 0.171, 0.071), P at (0.000, 0.205, 0.750), S at (0.000, 0.073, 0.622), S at (0.000, 0.285, 0.250) and S at (0.000, 0.328, 0.618).

The energy relative to the lowest polymorph listed for this composition is 233 meV per atom. For the density of states at the Fermi level, the calculation gives 9.68 states/eV per cell.

---

(2)
VASP calculation (PBE-GGA) on a geometry-optimized TaCrAg2 structure.

The space group is P4/mmm (No. 123) and the conventional cell measures 2.864, 2.864 and 8.409 Å, with angles of 90.00, 90.00 and 90.00 degrees. The asymmetric unit holds Ta at (0.000, 0.000, 0.000), Cr at (0.000, 0.000, 0.500) and Ag at (0.500, 0.500, 0.259).

The energy relative to the lowest polymorph listed for this composition is 208 meV per atom. For the formation energy, the calculation gives 0.52 eV/atom. For the density of states at the Fermi level, the calculation gives 3.49 states/eV per cell.